## CoCuSN (PBE)

Data for crystalline CoCuSN at its relaxed geometry.

abc: 3.191 3.203 5.713
angles: 89.07 89.27 60.55
Element x y z (fractional)
1 Co 0.000 0.000 0.000
2 Cu 0.325 0.318 0.602
3 S 0.995 0.988 0.374
4 N 0.334 0.337 0.935

The value obtained for the energy above the most stable polymorph in this dataset is 99 meV per atom. The symmetry is P1, No. 1.

***

## CoCuSN (PBE)

Data for crystalline CoCuSN at its relaxed geometry.

abc: 3.429 4.139 4.463
angles: 73.32 67.66 66.33
Element x y z (fractional)
1 Co 0.000 0.000 0.000
2 Cu 0.057 0.421 0.452
3 S 0.692 0.706 0.901
4 N 0.687 0.372 0.238

The value obtained for the energy above the most stable polymorph in this dataset is 249 meV per atom. The symmetry is P1, No. 1.

***

## CoCuSN (PBE)

Data for crystalline CoCuSN at its relaxed geometry.

abc: 2.986 3.517 5.271
angles: 86.44 84.78 66.97
Element x y z (fractional)
1 Co 0.000 0.000 0.000
2 Cu 0.463 0.416 0.352
3 S 0.331 0.419 0.776
4 N 0.513 0.911 0.203

The value obtained for the energy above the most stable polymorph in this dataset is 102 meV per atom. The symmetry is P1, No. 1.

***

## CoCuSeN2 (PBE)

Data for crystalline CoCuSeN2 at its relaxed geometry.

abc: 3.626 3.626 5.694
angles: 90.00 90.00 90.00
Element x y z (fractional)
1 Co 0.000 0.000 0.000
2 Cu 0.500 0.500 0.500
3 Se 0.500 0.500 0.000
4 N 0.000 0.500 0.500
5 N 0.500 0.000 0.500

The value obtained for the energy above the most stable polymorph in this dataset is 656 meV per atom. The symmetry is P4/mmm, No. 123.

***

## CoCuSeN2 (PBE)

Data for crystalline CoCuSeN2 at its relaxed geometry.

abc: 3.524 3.524 5.584
angles: 90.00 90.00 90.00
Element x y z (fractional)
1 Co 0.000 0.000 0.000
2 Cu 0.500 0.500 0.500
3 Se 0.000 0.000 0.500
4 N 0.000 0.500 0.000
5 N 0.500 0.000 0.000

The value obtained for the energy above the most stable polymorph in this dataset is 0 meV per atom. The symmetry is P4/mmm, No. 123.

***

## CoCuSiN2 (PBE)

Data for crystalline CoCuSiN2 at its relaxed geometry.

abc: 3.480 3.480 4.706
angles: 90.00 90.00 90.00
Element x y z (fractional)
1 Co 0.000 0.000 0.000
2 Cu 0.500 0.500 0.000
3 Si 0.500 0.500 0.500
4 N 0.000 0.500 0.500
5 N 0.500 0.000 0.500

For the total energy, the calculation gives -27.8 eV for the cell shown. The symmetry is P4/mmm, No. 123.

***

## Sr2CoCuN (PBE)

Data for crystalline Sr2CoCuN at its relaxed geometry.

abc: 5.376 5.376 3.548
angles: 90.00 90.00 90.00
Element x y z (fractional)
1 Sr 0.000 0.500 0.000
2 Sr 0.500 0.000 0.000
3 Co 0.000 0.000 0.500
4 Cu 0.500 0.500 0.500
5 N 0.000 0.000 0.000

For the total energy, the calculation gives -24.4 eV for the cell shown. The symmetry is P4/mmm, No. 123.

***

## SrCoCu2N (PBE)

Data for crystalline SrCoCu2N at its relaxed geometry.

abc: 4.756 4.756 3.548
angles: 90.00 90.00 90.00
Element x y z (fractional)
1 Sr 0.000 0.000 0.000
2 Co 0.500 0.500 0.500
3 Cu 0.000 0.500 0.500
4 Cu 0.500 0.000 0.500
5 N 0.500 0.500 0.000

For the total energy, the calculation gives -24.0 eV for the cell shown. The symmetry is P4/mmm, No. 123.

***

## TaCoCu2N (PBE)

Data for crystalline TaCoCu2N at its relaxed geometry.

abc: 4.007 4.007 3.725
angles: 90.00 90.00 90.00
Element x y z (fractional)
1 Ta 0.000 0.000 0.000
2 Co 0.500 0.500 0.000
3 Cu 0.000 0.500 0.500
4 Cu 0.500 0.000 0.500
5 N 0.500 0.500 0.500

For the total energy, the calculation gives -32.9 eV for the cell shown. The symmetry is P4/mmm, No. 123.

***

## Co2CuTcN (PBE)

Data for crystalline Co2CuTcN at its relaxed geometry.

abc: 3.770 3.770 3.964
angles: 90.00 90.00 90.00
Element x y z (fractional)
1 Co 0.000 0.500 0.000
2 Co 0.500 0.000 0.000
3 Cu 0.000 0.000 0.500
4 Tc 0.500 0.500 0.500
5 N 0.500 0.500 0.000

For the total energy, the calculation gives -36.6 eV for the cell shown. The symmetry is P4/mmm, No. 123.

***

## CoCuTc2N (PBE)

Data for crystalline CoCuTc2N at its relaxed geometry.

abc: 4.004 4.004 3.730
angles: 90.00 90.00 90.00
Element x y z (fractional)
1 Co 0.000 0.000 0.000
2 Cu 0.500 0.500 0.000
3 Tc 0.000 0.500 0.500
4 Tc 0.500 0.000 0.500
5 N 0.000 0.000 0.500

For the total energy, the calculation gives -39.6 eV for the cell shown. The symmetry is P4/mmm, No. 123.

***

## Y2CoCuN (PBE)

Data for crystalline Y2CoCuN at its relaxed geometry.

abc: 4.875 4.875 3.598
angles: 90.00 90.00 90.00
Element x y z (fractional)
1 Y 0.000 0.500 0.000
2 Y 0.500 0.000 0.000
3 Co 0.000 0.000 0.500
4 Cu 0.500 0.500 0.500
5 N 0.000 0.000 0.000

For the total energy, the calculation gives -35.8 eV for the cell shown. The symmetry is P4/mmm, No. 123.

***

## YCo2CuN (PBE)

Data for crystalline YCo2CuN at its relaxed geometry.

abc: 4.626 4.626 4.945
angles: 90.00 90.00 90.00
Element x y z (fractional)
1 Y 0.000 0.000 0.000
2 Co 0.000 0.500 0.000
3 Co 0.500 0.000 0.000
4 Cu 0.000 0.000 0.500
5 N 0.500 0.500 0.500

For the total energy, the calculation gives -19.5 eV for the cell shown. The symmetry is P4/mmm, No. 123.

***

## NaCoCu2 (PBE)

Data for crystalline NaCoCu2 at its relaxed geometry.

abc: 9.161 9.161 9.161
angles: 156.05 156.05 34.13
Element x y z (fractional)
1 Na 0.000 0.000 0.000
2 Na 0.750 0.250 0.500
3 Co 0.250 0.750 0.500
4 Co 0.500 0.500 0.000
5 Cu 0.174 0.625 0.049
6 Cu 0.375 0.424 0.549
7 Cu 0.576 0.125 0.951
8 Cu 0.875 0.826 0.451

The value obtained for the energy above the most stable polymorph in this dataset is 238 meV per atom. The calculation puts the calculated formation energy at 0.81 eV/atom. The symmetry is I-42d, No. 122.

***

## Na2CoCu (PBE)

Data for crystalline Na2CoCu at its relaxed geometry.

abc: 6.118 6.118 6.118
angles: 100.02 100.02 130.70
Element x y z (fractional)
1 Na 0.112 0.625 0.987
2 Na 0.375 0.362 0.487
3 Na 0.638 0.125 0.013
4 Na 0.875 0.888 0.513
5 Co 0.250 0.750 0.500
6 Co 0.500 0.500 0.000
7 Cu 0.000 0.000 0.000
8 Cu 0.750 0.250 0.500

The value obtained for the energy above the most stable polymorph in this dataset is 0 meV per atom. The calculation puts the calculated formation energy at 0.81 eV/atom. The symmetry is I-42d, No. 122.

***

## NaCo2Cu (PBE)

Data for crystalline NaCo2Cu at its relaxed geometry.

abc: 9.601 9.601 9.601
angles: 158.31 158.31 30.86
Element x y z (fractional)
1 Na 0.000 0.000 0.000
2 Na 0.750 0.250 0.500
3 Co 0.183 0.125 0.558
4 Co 0.375 0.817 0.942
5 Co 0.567 0.625 0.442
6 Co 0.875 0.433 0.058
7 Cu 0.250 0.750 0.500
8 Cu 0.500 0.500 0.000

The calculation puts the calculated formation energy at 0.80 eV/atom. The symmetry is I-42d, No. 122.

***

## Na2CoCu (PBE)

Data for crystalline Na2CoCu at its relaxed geometry.

abc: 4.753 4.753 4.753
angles: 60.00 60.00 60.00
Element x y z (fractional)
1 Na 0.250 0.250 0.250
2 Na 0.750 0.750 0.750
3 Co 0.000 0.000 0.000
4 Cu 0.500 0.500 0.500

The value obtained for the energy above the most stable polymorph in this dataset is 13 meV per atom. The calculation puts the calculated formation energy at 0.83 eV/atom. The symmetry is Fm-3m, No. 225.

***

## NaCoCu2 (PBE)

Data for crystalline NaCoCu2 at its relaxed geometry.

abc: 4.292 4.292 4.292
angles: 60.00 60.00 60.00
Element x y z (fractional)
1 Na 0.000 0.000 0.000
2 Co 0.500 0.500 0.500
3 Cu 0.250 0.250 0.250
4 Cu 0.750 0.750 0.750

The value obtained for the energy above the most stable polymorph in this dataset is 0 meV per atom. The calculation puts the calculated formation energy at 0.57 eV/atom. The symmetry is Fm-3m, No. 225.